1.
A plane-wave DFT calculation with GGA-PBE was carried out for a relaxed structure of Re2TeRh.

Lattice parameters (Å, degrees): 3.851 3.851 4.413 90.00 90.00 90.00
Positions (direct):
Re  0.000  0.500  0.000
Re  0.500  0.000  0.000
Te  0.000  0.000  0.500
Rh  0.500  0.500  0.500

## Properties
formation energy (no corrections) = 0.67 eV/atom
N(E_F) = 5.44 states/eV/f.u.

***

2.
A plane-wave DFT calculation with GGA-PBE was carried out for a relaxed structure of NbInFeOs.

Lattice parameters (Å, degrees): 4.462 4.462 4.462 60.00 60.00 60.00
Positions (direct):
Nb  0.000  0.000  0.000
Os  0.750  0.750  0.750
Fe  0.250  0.250  0.250
In  0.500  0.500  0.500

## Properties
energy of formation from the pure elements = 47 meV/atom
N(E_F) = 0.56 states/eV/f.u.

***

3.
A plane-wave DFT calculation with GGA-PBE was carried out for a relaxed structure of CrAgGeTe2.

Lattice parameters (Å, degrees): 5.176 5.047 5.176 90.00 90.00 90.00
Positions (direct):
Cr  0.000  0.000  0.000
Ge  0.500  0.500  0.500
Te  0.000  0.000  0.500
Te  0.500  0.000  0.000
Ag  0.000  0.500  0.000

## Properties
formation energy (no corrections) = 0.57 eV/atom
N(E_F) = 2.43 states/eV/f.u.

***

4.
A plane-wave DFT calculation with GGA-PBE was carried out for a relaxed structure of BaZr2Cd.

Lattice parameters (Å, degrees): 3.379 5.706 5.623 90.00 90.00 90.00
Positions (direct):
Ba  0.500  0.000  0.500
Cd  0.000  0.500  0.500
Zr  0.000  0.000  0.000
Zr  0.500  0.500  0.000

## Properties
energy of formation from the pure elements = 401 meV/atom
N(E_F) = 5.70 states/eV/f.u.

***

5.
A plane-wave DFT calculation with GGA-PBE was carried out for a relaxed structure of Sm2TmCd.

Lattice parameters (Å, degrees): 3.567 3.567 11.244 80.87 80.87 60.00
Positions (direct):
Sm  0.087  0.087  0.740
Sm  0.246  0.246  0.261
Tm  0.667  0.667  0.999
Cd  0.500  0.500  0.500

## Properties
energy of formation from the pure elements = -31 meV/atom
polymorph energy (0 for the lowest one) = 116 meV/atom
N(E_F) = 4.53 states/eV/f.u.

***

6.
A plane-wave DFT calculation with GGA-PBE was carried out for a relaxed structure of Ba2MnTlS.

Lattice parameters (Å, degrees): 6.578 5.322 6.578 90.00 90.00 90.00
Positions (direct):
S  0.000  0.500  0.000
Tl  0.000  0.000  0.000
Mn  0.500  0.500  0.500
Ba  0.000  0.000  0.500
Ba  0.500  0.000  0.000

## Properties
formation energy (no corrections) = 0.43 eV/atom
N(E_F) = 4.59 states/eV/f.u.

***

7.
A plane-wave DFT calculation with GGA-PBE was carried out for a relaxed structure of ErCdB.

Lattice parameters (Å, degrees): 3.751 4.932 6.978 99.72 90.00 112.35
Positions (direct):
Er  0.120  0.241  0.831
Er  0.880  0.759  0.169
Cd  0.367  0.734  0.579
Cd  0.633  0.266  0.421
B  0.579  0.159  0.069
B  0.421  0.841  0.931

## Properties
energy of formation from the pure elements = -180 meV/atom
N(E_F) = 1.45 states/eV/f.u.

***

8.
A plane-wave DFT calculation with GGA-PBE was carried out for a relaxed structure of Tm11Zn9Pd4.

Lattice parameters (Å, degrees): 3.595 12.398 12.398 112.53 90.00 90.00
Positions (direct):
Tm  0.000  0.587  0.928
Tm  0.000  0.413  0.072
Tm  0.000  0.928  0.587
Tm  0.000  0.072  0.413
Tm  0.000  0.642  0.358
Tm  0.000  0.358  0.642
Tm  0.000  0.830  0.170
Tm  0.000  0.170  0.830
Tm  0.000  0.000  0.000
Tm  0.000  0.728  0.728
Tm  0.000  0.272  0.272
Zn  0.500  0.631  0.151
Zn  0.500  0.369  0.849
Zn  0.500  0.151  0.631
Zn  0.500  0.849  0.369
Zn  0.500  0.791  0.947
Zn  0.500  0.209  0.053
Zn  0.500  0.947  0.791
Zn  0.500  0.053  0.209
Zn  0.500  0.500  0.500
Pd  0.500  0.553  0.740
Pd  0.500  0.447  0.260
Pd  0.500  0.740  0.553
Pd  0.500  0.260  0.447

## Properties
energy of formation from the pure elements = -542 meV/atom
N(E_F) = 16.75 states/eV/f.u.